# 1
# GaPdSN2 | Alexandria via LeMat-Bulk | GGA-PBE | relaxed
data_GaPdSN2
_space_group_name_H-M_alt 'P 4/m m m'
_space_group_IT_number 123
_space_group_name_Hall '-P 4 2'
_cell_length_a 3.964
_cell_length_b 3.964
_cell_length_c 5.144
_cell_angle_alpha 90.00
_cell_angle_beta 90.00
_cell_angle_gamma 90.00
loop_
_atom_site_label
_atom_site_fract_x
_atom_site_fract_y
_atom_site_fract_z
Ga1 0.000 0.000 0.000
Pd1 0.500 0.500 0.500
S1 0.500 0.500 0.000
N1 0.000 0.500 0.500
# Uncorrected energy in eV for the cell shown: -22.64
# Magnetization in Bohr magnetons per cell: 3.04
# DOS(E_F) in states/eV/atom: 0.477
# Formation energy (no corrections) in eV per atom: 1.272

=====

# 2
# GaPdSN2 | Alexandria via LeMat-Bulk | GGA-PBE | relaxed
data_GaPdSN2
_space_group_name_H-M_alt 'P 4/m m m'
_space_group_IT_number 123
_space_group_name_Hall '-P 4 2'
_cell_length_a 3.783
_cell_length_b 3.783
_cell_length_c 5.271
_cell_angle_alpha 90.00
_cell_angle_beta 90.00
_cell_angle_gamma 90.00
loop_
_atom_site_label
_atom_site_fract_x
_atom_site_fract_y
_atom_site_fract_z
Ga1 0.000 0.000 0.000
Pd1 0.500 0.500 0.500
S1 0.000 0.000 0.500
N1 0.000 0.500 0.000
# Uncorrected energy in eV for the cell shown: -22.64
# Magnetization in Bohr magnetons per cell: 3.28
# DOS(E_F) in states/eV/atom: 0.701
# Formation energy (no corrections) in eV per atom: 1.271

=====

# 3
# GaSb2PdN | Alexandria via LeMat-Bulk | GGA-PBE | relaxed
data_GaSb2PdN
_space_group_name_H-M_alt 'P 4/m m m'
_space_group_IT_number 123
_space_group_name_Hall '-P 4 2'
_cell_length_a 4.897
_cell_length_b 4.897
_cell_length_c 3.929
_cell_angle_alpha 90.00
_cell_angle_beta 90.00
_cell_angle_gamma 90.00
loop_
_atom_site_label
_atom_site_fract_x
_atom_site_fract_y
_atom_site_fract_z
Ga1 0.000 0.000 0.000
Sb1 0.000 0.500 0.500
Pd1 0.500 0.500 0.000
N1 0.000 0.000 0.500
# Uncorrected energy in eV for the cell shown: -22.99
# Magnetization in Bohr magnetons per cell: 0.00
# DOS(E_F) in states/eV/atom: 0.470
# Formation energy (no corrections) in eV per atom: 0.359

=====

# 4
# GaSi2PdN | Alexandria via LeMat-Bulk | GGA-PBE | relaxed
data_GaSi2PdN
_space_group_name_H-M_alt 'P 4/m m m'
_space_group_IT_number 123
_space_group_name_Hall '-P 4 2'
_cell_length_a 4.576
_cell_length_b 4.576
_cell_length_c 4.705
_cell_angle_alpha 90.00
_cell_angle_beta 90.00
_cell_angle_gamma 90.00
loop_
_atom_site_label
_atom_site_fract_x
_atom_site_fract_y
_atom_site_fract_z
Ga1 0.000 0.000 0.000
Si1 0.000 0.500 0.500
Pd1 0.000 0.000 0.500
N1 0.500 0.500 0.000
# Uncorrected energy in eV for the cell shown: -21.07
# Magnetization in Bohr magnetons per cell: 0.00
# DOS(E_F) in states/eV/atom: 0.261
# Formation energy (no corrections) in eV per atom: 1.264

=====

# 5
# SmGaPdN | Alexandria via LeMat-Bulk | GGA-PBE | relaxed
data_SmGaPdN
_space_group_name_H-M_alt 'P 4/n m m'
_space_group_IT_number 129
_cell_length_a 3.854
_cell_length_b 3.854
_cell_length_c 9.173
_cell_angle_alpha 90.00
_cell_angle_beta 90.00
_cell_angle_gamma 90.00
loop_
_space_group_symop_operation_xyz
'x,y,z'
'-x,-y,-z'
'-y+1/2,x,z'
'y+1/2,-x,-z'
'-x+1/2,-y+1/2,z'
'x+1/2,y+1/2,-z'
'y,-x+1/2,z'
'-y,x+1/2,-z'
'x+1/2,-y,-z'
'-x+1/2,y,z'
'-y,-x,-z'
'y,x,z'
'-x,y+1/2,-z'
'x,-y+1/2,z'
'y+1/2,x+1/2,-z'
'-y+1/2,-x+1/2,z'
loop_
_atom_site_label
_atom_site_fract_x
_atom_site_fract_y
_atom_site_fract_z
Sm1 0.250 0.250 0.135
Ga1 0.250 0.250 0.674
Pd1 0.250 0.750 0.500
N1 0.250 0.250 0.886
# Uncorrected energy in eV for the cell shown: -49.74
# Magnetization in Bohr magnetons per cell: 0.00
# DOS(E_F) in states/eV/atom: 0.326
# Formation energy (no corrections) in eV per atom: -0.902

=====

# 6
# GaTePdN2 | Alexandria via LeMat-Bulk | GGA-PBE | relaxed
data_GaTePdN2
_space_group_name_H-M_alt 'P 4/m m m'
_space_group_IT_number 123
_space_group_name_Hall '-P 4 2'
_cell_length_a 4.049
_cell_length_b 4.049
_cell_length_c 5.790
_cell_angle_alpha 90.00
_cell_angle_beta 90.00
_cell_angle_gamma 90.00
loop_
_atom_site_label
_atom_site_fract_x
_atom_site_fract_y
_atom_site_fract_z
Ga1 0.000 0.000 0.000
Te1 0.500 0.500 0.000
Pd1 0.500 0.500 0.500
N1 0.000 0.500 0.500
# Uncorrected energy in eV for the cell shown: -21.67
# Energy relative to the lowest polymorph listed for this composition in meV per atom: 70
# Magnetization in Bohr magnetons per cell: 3.35
# DOS(E_F) in states/eV/atom: 0.571
# Formation energy (no corrections) in eV per atom: 1.269

=====

# 7
# GaTe2PdN | Alexandria via LeMat-Bulk | GGA-PBE | relaxed
data_GaTe2PdN
_space_group_name_H-M_alt 'P 4/m m m'
_space_group_IT_number 123
_space_group_name_Hall '-P 4 2'
_cell_length_a 5.660
_cell_length_b 5.660
_cell_length_c 3.440
_cell_angle_alpha 90.00
_cell_angle_beta 90.00
_cell_angle_gamma 90.00
loop_
_atom_site_label
_atom_site_fract_x
_atom_site_fract_y
_atom_site_fract_z
Ga1 0.000 0.000 0.000
Te1 0.000 0.500 0.000
Pd1 0.500 0.500 0.500
N1 0.000 0.000 0.500
# Uncorrected energy in eV for the cell shown: -19.45
# Energy relative to the lowest polymorph listed for this composition in meV per atom: 122
# Magnetization in Bohr magnetons per cell: 0.00
# DOS(E_F) in states/eV/atom: 0.701
# Formation energy (no corrections) in eV per atom: 0.676

=====

# 8
# GaTe2PdN | Alexandria via LeMat-Bulk | GGA-PBE | relaxed
data_GaTe2PdN
_space_group_name_H-M_alt 'P 4/m m m'
_space_group_IT_number 123
_space_group_name_Hall '-P 4 2'
_cell_length_a 5.670
_cell_length_b 5.670
_cell_length_c 3.688
_cell_angle_alpha 90.00
_cell_angle_beta 90.00
_cell_angle_gamma 90.00
loop_
_atom_site_label
_atom_site_fract_x
_atom_site_fract_y
_atom_site_fract_z
Ga1 0.000 0.000 0.000
Te1 0.000 0.500 0.500
Pd1 0.500 0.500 0.500
N1 0.500 0.500 0.000
# Uncorrected energy in eV for the cell shown: -20.06
# Energy relative to the lowest polymorph listed for this composition in meV per atom: 0
# Magnetization in Bohr magnetons per cell: 0.00
# DOS(E_F) in states/eV/atom: 0.864
# Formation energy (no corrections) in eV per atom: 0.554

=====

# 9
# GaTePdN2 | Alexandria via LeMat-Bulk | GGA-PBE | relaxed
data_GaTePdN2
_space_group_name_H-M_alt 'P 4/m m m'
_space_group_IT_number 123
_space_group_name_Hall '-P 4 2'
_cell_length_a 3.884
_cell_length_b 3.884
_cell_length_c 6.125
_cell_angle_alpha 90.00
_cell_angle_beta 90.00
_cell_angle_gamma 90.00
loop_
_atom_site_label
_atom_site_fract_x
_atom_site_fract_y
_atom_site_fract_z
Ga1 0.000 0.000 0.000
Te1 0.000 0.000 0.500
Pd1 0.500 0.500 0.500
N1 0.000 0.500 0.000
# Uncorrected energy in eV for the cell shown: -22.02
# Energy relative to the lowest polymorph listed for this composition in meV per atom: 0
# Magnetization in Bohr magnetons per cell: 3.64
# DOS(E_F) in states/eV/atom: 0.664
# Formation energy (no corrections) in eV per atom: 1.198

=====

# 10
# Pm6GaN2 | Alexandria via LeMat-Bulk | GGA-PBE | relaxed
data_Pm6GaN2
_space_group_name_H-M_alt 'C 1 2/m 1'
_space_group_IT_number 12
_space_group_name_Hall '-C 2y'
_cell_length_a 15.154
_cell_length_b 3.804
_cell_length_c 9.686
_cell_angle_alpha 90.00
_cell_angle_beta 115.79
_cell_angle_gamma 90.00
loop_
_atom_site_label
_atom_site_fract_x
_atom_site_fract_y
_atom_site_fract_z
Pm1 0.108 0.000 0.176
Pm2 0.161 0.000 0.856
Pm3 0.164 0.500 0.543
Ga1 0.000 0.000 0.500
N1 0.248 0.000 0.144
# Uncorrected energy in eV for the cell shown: -106.82
# Magnetization in Bohr magnetons per cell: 0.00
# DOS(E_F) in states/eV/atom: 0.835
# Formation energy (no corrections) in eV per atom: -0.581

=====

# 11
# Pm6Ga2N | Alexandria via LeMat-Bulk | GGA-PBE | relaxed
data_Pm6Ga2N
_space_group_name_H-M_alt 'A m m 2'
_space_group_IT_number 38
_space_group_name_Hall 'A 2 -2'
_cell_length_a 3.609
_cell_length_b 14.806
_cell_length_c 9.063
_cell_angle_alpha 90.00
_cell_angle_beta 90.00
_cell_angle_gamma 90.00
loop_
_atom_site_label
_atom_site_fract_x
_atom_site_fract_y
_atom_site_fract_z
Pm1 0.000 0.000 0.000
Pm2 0.000 0.108 0.642
Pm3 0.500 0.000 0.331
Pm4 0.500 0.211 0.976
Ga1 0.000 0.173 0.260
N1 0.500 0.000 0.582
# Uncorrected energy in eV for the cell shown: -93.70
# Energy relative to the lowest polymorph listed for this composition in meV per atom: 82
# Magnetization in Bohr magnetons per cell: 0.00
# DOS(E_F) in states/eV/atom: 0.969
# Formation energy (no corrections) in eV per atom: -0.441

=====

# 12
# Pm6Ga2N | Alexandria via LeMat-Bulk | GGA-PBE | relaxed
data_Pm6Ga2N
_space_group_name_H-M_alt 'P 1 21/c 1'
_space_group_IT_number 14
_space_group_name_Hall '-P 2ybc'
_cell_length_a 6.955
_cell_length_b 6.986
_cell_length_c 12.042
_cell_angle_alpha 90.00
_cell_angle_beta 125.18
_cell_angle_gamma 90.00
loop_
_atom_site_label
_atom_site_fract_x
_atom_site_fract_y
_atom_site_fract_z
Pm1 0.215 0.002 0.255
Pm2 0.268 0.738 0.021
Pm3 0.282 0.247 0.020
Ga1 0.253 0.005 0.750
N1 0.500 0.000 0.500
# Uncorrected energy in eV for the cell shown: -95.18
# Energy relative to the lowest polymorph listed for this composition in meV per atom: 0
# Magnetization in Bohr magnetons per cell: 0.00
# DOS(E_F) in states/eV/atom: 0.709
# Formation energy (no corrections) in eV per atom: -0.523

=====

Q: Which formula does entry 8 have?
A: GaTe2PdN

=====

Q: What is the magnetization in the tenth record?
A: 0.00 Bohr magnetons per cell

=====

Q: Number 5 is which compound?
A: SmGaPdN